No. 1
A plane-wave DFT calculation with PBE was carried out for ErNpZnO6 after structural relaxation.

Output
- Space-group type: P-31c (163)
- Final energy: -7.832 eV per atom
- Total magnetization: 0.00 μB/atom

```
ErNpZnO6
1.0
-2.8161 4.8874 -0.0579
-2.7366 -4.8432 -0.9353
-1.5509 -0.7914 8.6359
O Np Zn Er
12 2 2 2
Cartesian
-2.4696 -0.1381 2.8657 O
-3.8324 3.0605 0.7638 O
-3.2427 -0.8125 7.1585 O
-2.0315 -2.0812 5.1096 O
-3.8608 0.0653 0.4843 O
-5.8215 -2.2434 6.5643 O
-3.2711 -3.8077 6.8790 O
-2.5469 2.8580 3.1264 O
-4.5566 -3.6052 4.5164 O
-1.2821 1.4962 1.0785 O
-4.6340 -0.6091 4.7771 O
-5.0720 1.3341 2.5332 O
-3.1773 1.4460 1.8086 Np
-3.9262 -2.1932 5.8342 Np
-0.7755 -0.3957 4.3180 Zn
0.0000 0.0000 0.0000 Zn
-3.9528 1.0503 6.1266 Er
-3.1508 -1.7975 1.5162 Er
```

No. 2
A plane-wave DFT calculation with PBE was carried out for SrNi3As3 after structural relaxation.

Output
- Space-group type: R-3 (148)
- Formation energy: -0.449 eV per atom
- Energy above the lowest structure with this stoichiometry: 0.000 eV per atom
- Total magnetization: 0.00 μB/atom

```
SrNi3As3
1.0
-1.5576 -3.4845 -5.5756
4.4446 -4.3735 -2.6026
-1.8247 -7.8664 1.3318
As Sr Ni
6 2 6
Cartesian
2.0125 -9.3052 -1.6325 As
2.5628 -8.2798 -5.2067 As
-0.6483 -10.0932 -4.4790 As
1.7105 -5.6313 -2.3674 As
-0.9503 -6.4193 -5.2138 As
-1.5006 -7.4447 -1.6396 As
0.1029 -13.0994 -4.1247 Sr
0.9593 -2.6251 -2.7216 Sr
2.8403 -7.5872 -2.9380 Ni
-1.7781 -8.1373 -3.9083 Ni
1.6491 -9.9140 -3.8518 Ni
-0.5869 -5.8105 -2.9946 Ni
0.7676 -7.3327 -1.1195 Ni
0.2946 -8.3918 -5.7269 Ni
```

No. 3
A plane-wave DFT calculation with PBE was carried out for KCa2TlBr8 after structural relaxation.

Output
- Space-group type: P2/m (10)
- Final energy: -3.152 eV per atom
- Total magnetization: 0.00 μB/atom

```
KCa2TlBr8
1.0
7.0635 0.0398 -0.0042
0.0880 6.6936 -0.0071
0.0072 0.0110 8.9850
K Br Tl Ca
1 8 1 2
Cartesian
0.0036 0.0055 4.4925 K
4.5472 4.8798 4.4844 Br
6.0220 1.6910 7.0144 Br
2.4564 1.7150 -0.0029 Br
6.0156 1.6834 1.9593 Br
1.1367 5.0533 1.9592 Br
2.6114 1.8646 4.4892 Br
1.1430 5.0609 7.0144 Br
4.7022 5.0293 8.9766 Br
0.0000 0.0000 0.0000 Tl
3.5768 3.3700 2.2072 Ca
3.5818 3.3744 6.7664 Ca
```